# AlSi2W

A relaxed AlSi2W crystal (PBE-GGA, Alexandria via LeMat-Bulk).

Cell: 3.3259 3.3259 5.1819 Å, 90.00 90.00 90.00°
Element x y z (fractional)
Si 0.0000 0.0000 0.9978
W 0.0000 0.0000 0.4874
Al 0.5000 0.5000 0.7577
Si 0.5000 0.5000 0.2571

symmetry = P4mm (99)
size of the total moment = 0.00 μB/cell
raw total energy = -27.68 eV per cell
uncorrected formation energy = -0.14 eV per formula unit